Computed, not measured: Pm2Br3Cl after structural relaxation at the PBE level of DFT.

uncorrected formation energy = -1.692 eV/atom
SG = No. 12
magnetic moment = 2.07 Bohr magnetons per cell

abc: 8.673 8.673 12.894
angles: 120.60 120.60 26.79
Element x y z (fractional)
1 Pm 0.096 0.096 0.456
2 Pm 0.341 0.341 0.120
3 Pm 0.659 0.659 0.880
4 Pm 0.904 0.904 0.544
5 Br 0.139 0.139 0.037
6 Br 0.264 0.264 0.392
7 Br 0.450 0.450 0.739
8 Br 0.550 0.550 0.261
9 Br 0.736 0.736 0.608
10 Br 0.861 0.861 0.963
11 Cl 0.107 0.107 0.692
12 Cl 0.893 0.893 0.308

---

Computed, not measured: Rb2PmBr3Cl3 after structural relaxation at the PBE level of DFT.

uncorrected formation energy = -1.687 eV/atom
SG = No. 189
magnetic moment = 1.13 Bohr magnetons per cell

abc: 8.679 8.679 4.378
angles: 90.00 90.00 120.00
Element x y z (fractional)
1 Rb 0.333 0.667 0.000
2 Rb 0.667 0.333 0.000
3 Pm 0.000 0.000 0.500
4 Br 0.000 0.645 0.500
5 Br 0.355 0.355 0.500
6 Br 0.645 0.000 0.500
7 Cl 0.000 0.224 0.000
8 Cl 0.224 0.000 0.000
9 Cl 0.776 0.776 0.000

---

Computed, not measured: Pm8Rh3Br4Cl after structural relaxation at the PBE level of DFT.

uncorrected formation energy = -1.089 eV/atom
SG = No. 12
magnetic moment = 0.00 Bohr magnetons per cell

abc: 8.311 8.311 9.042
angles: 117.39 117.39 60.01
Element x y z (fractional)
1 Pm 0.212 0.745 0.702
2 Pm 0.231 0.231 0.693
3 Pm 0.255 0.255 0.298
4 Pm 0.255 0.788 0.298
5 Pm 0.745 0.212 0.702
6 Pm 0.745 0.745 0.702
7 Pm 0.769 0.769 0.307
8 Pm 0.788 0.255 0.298
9 Rh 0.000 0.000 0.500
10 Rh 0.000 0.500 0.500
11 Rh 0.500 0.000 0.500
12 Br 0.000 0.000 0.000
13 Br 0.000 0.500 0.000
14 Br 0.500 0.000 0.000
15 Br 0.500 0.500 0.000
16 Cl 0.500 0.500 0.500

---

Computed, not measured: Pm3RuBrCl after structural relaxation at the PBE level of DFT.

uncorrected formation energy = -1.019 eV/atom
SG = No. 11
magnetic moment = 0.00 Bohr magnetons per cell

abc: 9.167 3.949 9.690
angles: 90.00 104.28 90.00
Element x y z (fractional)
1 Pm 0.142 0.250 0.106
2 Pm 0.143 0.250 0.454
3 Pm 0.260 0.750 0.810
4 Pm 0.740 0.250 0.190
5 Pm 0.857 0.750 0.546
6 Pm 0.858 0.750 0.894
7 Ru 0.037 0.250 0.764
8 Ru 0.963 0.750 0.236
9 Br 0.417 0.750 0.130
10 Br 0.583 0.250 0.870
11 Cl 0.370 0.750 0.563
12 Cl 0.630 0.250 0.437

---

The lowest uncorrected formation energy belongs to which entry?
Pm2Br3Cl

---

Look up the magnetic moment of the third one.
0.00 Bohr magnetons per cell